Compound: Lu2ScV
Source: the Alexandria database
Functional: GGA-PBE
Structure: relaxed

Formation energy   0.57 eV/atom
Energy above the most stable polymorph in this dataset   1.46 eV/f.u.
Magnetic moment   2.88 μB per formula unit

Structure (CIF):
```
data_Lu2ScV
_chemical_formula_sum 'Lu6 Sc3 V3'
_cell_length_a 3.2464
_cell_length_b 3.2464
_cell_length_c 32.9605
_cell_angle_alpha 90.00
_cell_angle_beta 90.00
_cell_angle_gamma 120.00
_space_group_name_H-M_alt 'R -3 m'
_space_group_IT_number 166
_space_group_name_Hall '-R 3 2"'
loop_
_atom_site_label
_atom_site_type_symbol
_atom_site_fract_x
_atom_site_fract_y
_atom_site_fract_z
Lu1 Lu 0.0000 0.0000 0.0848
Sc1 Sc 0.0000 0.0000 0.5000
V1 V 0.0000 0.0000 0.0000
```

---

Compound: YLu2Sc
Source: the Alexandria database
Functional: GGA-PBE
Structure: relaxed

Formation energy   0.05 eV/atom
Energy above the most stable polymorph in this dataset   0.01 eV/f.u.
Magnetic moment   0.00 μB per formula unit

Structure (CIF):
```
data_YLu2Sc
_chemical_formula_sum 'Y1 Lu2 Sc1'
_cell_length_a 4.8603
_cell_length_b 4.8603
_cell_length_c 4.8781
_cell_angle_alpha 90.00
_cell_angle_beta 90.00
_cell_angle_gamma 90.00
_space_group_name_H-M_alt 'P 4/m m m'
_space_group_IT_number 123
_space_group_name_Hall '-P 4 2'
loop_
_atom_site_label
_atom_site_type_symbol
_atom_site_fract_x
_atom_site_fract_y
_atom_site_fract_z
Y1 Y 0.0000 0.0000 0.0000
Lu1 Lu 0.0000 0.5000 0.5000
Sc1 Sc 0.5000 0.5000 0.0000
```

---

Compound: YLu2Sc
Source: the Alexandria database
Functional: GGA-PBE
Structure: relaxed

Formation energy   0.05 eV/atom
Energy above the most stable polymorph in this dataset   0.00 eV/f.u.
Magnetic moment   0.00 μB per formula unit

Structure (CIF):
```
data_YLu2Sc
_chemical_formula_sum 'Y1 Lu2 Sc1'
_cell_length_a 3.4521
_cell_length_b 3.4521
_cell_length_c 9.6696
_cell_angle_alpha 90.00
_cell_angle_beta 90.00
_cell_angle_gamma 90.00
_space_group_name_H-M_alt 'P 4/m m m'
_space_group_IT_number 123
_space_group_name_Hall '-P 4 2'
loop_
_atom_site_label
_atom_site_type_symbol
_atom_site_fract_x
_atom_site_fract_y
_atom_site_fract_z
Y1 Y 0.0000 0.0000 0.0000
Lu1 Lu 0.5000 0.5000 0.2620
Sc1 Sc 0.0000 0.0000 0.5000
```

---

Compound: Y2LuSc
Source: the Alexandria database
Functional: GGA-PBE
Structure: relaxed

Formation energy   0.06 eV/atom
Energy above the most stable polymorph in this dataset   0.04 eV/f.u.
Magnetic moment   0.00 μB per formula unit

Structure (CIF):
```
data_Y2LuSc
_chemical_formula_sum 'Y6 Lu3 Sc3'
_cell_length_a 3.4803
_cell_length_b 3.4803
_cell_length_c 33.7586
_cell_angle_alpha 90.00
_cell_angle_beta 90.00
_cell_angle_gamma 120.00
_space_group_name_H-M_alt 'R -3 m'
_space_group_IT_number 166
_space_group_name_Hall '-R 3 2"'
loop_
_atom_site_label
_atom_site_type_symbol
_atom_site_fract_x
_atom_site_fract_y
_atom_site_fract_z
Y1 Y 0.0000 0.0000 0.2477
Lu1 Lu 0.0000 0.0000 0.0000
Sc1 Sc 0.0000 0.0000 0.5000
```

---

Compound: Y2LuSc
Source: the Alexandria database
Functional: GGA-PBE
Structure: relaxed

Formation energy   0.05 eV/atom
Energy above the most stable polymorph in this dataset   0.01 eV/f.u.
Magnetic moment   0.00 μB per formula unit

Structure (CIF):
```
data_Y2LuSc
_chemical_formula_sum 'Y2 Lu1 Sc1'
_cell_length_a 4.9255
_cell_length_b 4.9255
_cell_length_c 4.8690
_cell_angle_alpha 90.00
_cell_angle_beta 90.00
_cell_angle_gamma 90.00
_space_group_name_H-M_alt 'P 4/m m m'
_space_group_IT_number 123
_space_group_name_Hall '-P 4 2'
loop_
_atom_site_label
_atom_site_type_symbol
_atom_site_fract_x
_atom_site_fract_y
_atom_site_fract_z
Y1 Y 0.0000 0.5000 0.0000
Lu1 Lu 0.0000 0.0000 0.5000
Sc1 Sc 0.5000 0.5000 0.5000
```

---

Compound: Y2LuSc
Source: the Alexandria database
Functional: GGA-PBE
Structure: relaxed

Formation energy   0.05 eV/atom
Energy above the most stable polymorph in this dataset   0.00 eV/f.u.
Magnetic moment   0.00 μB per formula unit

Structure (CIF):
```
data_Y2LuSc
_chemical_formula_sum 'Y2 Lu1 Sc1'
_cell_length_a 3.5021
_cell_length_b 3.5021
_cell_length_c 9.6336
_cell_angle_alpha 90.00
_cell_angle_beta 90.00
_cell_angle_gamma 90.00
_space_group_name_H-M_alt 'P 4/m m m'
_space_group_IT_number 123
_space_group_name_Hall '-P 4 2'
loop_
_atom_site_label
_atom_site_type_symbol
_atom_site_fract_x
_atom_site_fract_y
_atom_site_fract_z
Y1 Y 0.0000 0.0000 0.2417
Lu1 Lu 0.5000 0.5000 0.5000
Sc1 Sc 0.5000 0.5000 0.0000
```

---

Compound: YLu2Sc
Source: the Alexandria database
Functional: GGA-PBE
Structure: relaxed

Formation energy   0.14 eV/atom
Energy above the most stable polymorph in this dataset   0.36 eV/f.u.
Magnetic moment   0.92 μB per formula unit

Structure (CIF):
```
data_YLu2Sc
_chemical_formula_sum 'Y4 Lu8 Sc4'
_cell_length_a 7.7657
_cell_length_b 7.7657
_cell_length_c 7.7657
_cell_angle_alpha 90.00
_cell_angle_beta 90.00
_cell_angle_gamma 90.00
_space_group_name_H-M_alt 'F m -3 m'
_space_group_IT_number 225
_space_group_name_Hall '-F 4 2 3'
loop_
_atom_site_label
_atom_site_type_symbol
_atom_site_fract_x
_atom_site_fract_y
_atom_site_fract_z
Y1 Y 0.0000 0.0000 0.0000
Lu1 Lu 0.2500 0.2500 0.2500
Sc1 Sc 0.0000 0.0000 0.5000
```

---

Compound: Y2LuSc
Source: the Alexandria database
Functional: GGA-PBE
Structure: relaxed

Formation energy   0.11 eV/atom
Energy above the most stable polymorph in this dataset   0.26 eV/f.u.
Magnetic moment   0.00 μB per formula unit

Structure (CIF):
```
data_Y2LuSc
_chemical_formula_sum 'Y8 Lu4 Sc4'
_cell_length_a 7.8127
_cell_length_b 7.8127
_cell_length_c 7.8127
_cell_angle_alpha 90.00
_cell_angle_beta 90.00
_cell_angle_gamma 90.00
_space_group_name_H-M_alt 'F m -3 m'
_space_group_IT_number 225
_space_group_name_Hall '-F 4 2 3'
loop_
_atom_site_label
_atom_site_type_symbol
_atom_site_fract_x
_atom_site_fract_y
_atom_site_fract_z
Y1 Y 0.2500 0.2500 0.2500
Lu1 Lu 0.0000 0.0000 0.0000
Sc1 Sc 0.0000 0.0000 0.5000
```

---

Compound: LuSc2Zn
Source: the Alexandria database
Functional: GGA-PBE
Structure: relaxed

Formation energy   -0.07 eV/atom
Energy above the most stable polymorph in this dataset   0.30 eV/f.u.
Magnetic moment   0.42 μB per formula unit

Structure (CIF):
```
data_LuSc2Zn
_chemical_formula_sum 'Lu1 Sc2 Zn1'
_cell_length_a 4.4499
_cell_length_b 4.4499
_cell_length_c 4.5487
_cell_angle_alpha 90.00
_cell_angle_beta 90.00
_cell_angle_gamma 90.00
_space_group_name_H-M_alt 'P 4/m m m'
_space_group_IT_number 123
_space_group_name_Hall '-P 4 2'
loop_
_atom_site_label
_atom_site_type_symbol
_atom_site_fract_x
_atom_site_fract_y
_atom_site_fract_z
Lu1 Lu 0.0000 0.0000 0.0000
Sc1 Sc 0.0000 0.5000 0.5000
Zn1 Zn 0.5000 0.5000 0.0000
```

---

Compound: LuSc2Zn
Source: the Alexandria database
Functional: GGA-PBE
Structure: relaxed

Formation energy   -0.15 eV/atom
Energy above the most stable polymorph in this dataset   0.00 eV/f.u.
Magnetic moment   0.00 μB per formula unit

Structure (CIF):
```
data_LuSc2Zn
_chemical_formula_sum 'Lu1 Sc2 Zn1'
_cell_length_a 3.3517
_cell_length_b 3.3517
_cell_length_c 8.1994
_cell_angle_alpha 90.00
_cell_angle_beta 90.00
_cell_angle_gamma 90.00
_space_group_name_H-M_alt 'P 4/m m m'
_space_group_IT_number 123
_space_group_name_Hall '-P 4 2'
loop_
_atom_site_label
_atom_site_type_symbol
_atom_site_fract_x
_atom_site_fract_y
_atom_site_fract_z
Lu1 Lu 0.0000 0.0000 0.0000
Sc1 Sc 0.5000 0.5000 0.2961
Zn1 Zn 0.0000 0.0000 0.5000
```

---

Compound: LuScZn
Source: the Alexandria database
Functional: GGA-PBE
Structure: relaxed

Formation energy   -0.21 eV/atom
Energy above the most stable polymorph in this dataset   0.00 eV/f.u.
Magnetic moment   0.01 μB per formula unit

Structure (CIF):
```
data_LuScZn
_chemical_formula_sum 'Lu2 Sc2 Zn2'
_cell_length_a 3.4066
_cell_length_b 3.4066
_cell_length_c 11.6924
_cell_angle_alpha 90.00
_cell_angle_beta 90.00
_cell_angle_gamma 90.00
_space_group_name_H-M_alt 'I 4 m m'
_space_group_IT_number 107
_space_group_name_Hall 'I 4 -2'
loop_
_atom_site_label
_atom_site_type_symbol
_atom_site_fract_x
_atom_site_fract_y
_atom_site_fract_z
Lu1 Lu 0.0000 0.0000 0.0000
Sc1 Sc 0.0000 0.0000 0.2909
Zn1 Zn 0.0000 0.0000 0.6560
```

---

Compound: LuScZn
Source: the Alexandria database
Functional: GGA-PBE
Structure: relaxed

Formation energy   -0.07 eV/atom
Energy above the most stable polymorph in this dataset   0.42 eV/f.u.
Magnetic moment   0.00 μB per formula unit

Structure (CIF):
```
data_LuScZn
_chemical_formula_sum 'Lu1 Sc1 Zn1'
_cell_length_a 4.8111
_cell_length_b 4.8111
_cell_length_c 3.4195
_cell_angle_alpha 90.00
_cell_angle_beta 90.00
_cell_angle_gamma 120.00
_space_group_name_H-M_alt 'P 3 m 1'
_space_group_IT_number 156
_space_group_name_Hall 'P 3 -2"'
loop_
_atom_site_label
_atom_site_type_symbol
_atom_site_fract_x
_atom_site_fract_y
_atom_site_fract_z
Lu1 Lu 0.0000 0.0000 0.0000
Sc1 Sc 0.6667 0.3333 0.4662
Zn1 Zn 0.3333 0.6667 0.6233
```